Below is MnNb2S4 after structural relaxation, with properties calculated at the PBE-GGA level.

Computed properties:
N(E_F)	11.7	states/eV/cell
electronic total energy	-7.271	eV/atom
raw formation energy	-725.7	meV per atom

Cell and atoms, written as CIF:
```
data_MnNb2S4
_symmetry_space_group_name_H-M 'P n m a'
_symmetry_Int_Tables_number 62
_cell_length_a 10.8501
_cell_length_b 3.3568
_cell_length_c 13.1821
_cell_angle_alpha 90.00
_cell_angle_beta 90.00
_cell_angle_gamma 90.00
loop_
_symmetry_equiv_pos_as_xyz
'x,y,z'
'-x,-y,-z'
'-x+1/2,-y,z+1/2'
'x+1/2,y,-z+1/2'
'x+1/2,-y+1/2,-z+1/2'
'-x+1/2,y+1/2,z+1/2'
'-x,y+1/2,-z'
'x,-y+1/2,z'
loop_
_atom_site_label
_atom_site_fract_x
_atom_site_fract_y
_atom_site_fract_z
_atom_site_occupancy
Mn1 0.2310 0.2500 0.1593 1
Nb1 0.0381 0.7500 0.4156 1
Nb2 0.1187 0.7500 0.8964 1
S1 0.0441 0.7500 0.7085 1
S2 0.0591 0.7500 0.0861 1
S3 0.1751 0.2500 0.5034 1
S4 0.2382 0.7500 0.3081 1
```